The following is a PBE calculation of a relaxed structure of Fe2Co, from the Alexandria database.

As for the crystal system: orthorhombic. The energy of formation comes out at -10 meV/atom. As for the mass density: 8.25 Mg/m³.

Cell: 2.8367 4.0236 12.0382 Å, 90.00 90.00 90.00°
Fractional positions:
Fe 0.0000 0.0000 0.1660
Fe 0.0000 0.0000 0.8340
Fe 0.0000 0.5000 0.3340
Fe 0.0000 0.5000 0.6660
Fe 0.5000 0.0000 0.3340
Fe 0.5000 0.0000 0.6660
Fe 0.5000 0.5000 0.1660
Fe 0.5000 0.5000 0.8340
Co 0.0000 0.0000 0.5000
Co 0.0000 0.5000 0.0000
Co 0.5000 0.0000 0.0000
Co 0.5000 0.5000 0.5000



The following is a PBE calculation of a relaxed structure of TcAgBr2, from the Alexandria database.

The calculation puts the uncorrected formation energy at 0.45 eV/atom. As for the crystal system: orthorhombic. For the excess energy over the best structure of this formula in the dataset, the calculation gives 0.2400 eV/atom. As for the mass density: 5.96 Mg/m³.

Cell: 4.2247 5.7292 8.4132 Å, 90.00 90.00 90.00°
Fractional positions:
Tc 0.0000 0.0000 0.0000
Tc 0.5000 0.5000 0.0000
Ag 0.0000 0.5000 0.2089
Ag 0.5000 0.0000 0.2089
Br 0.0000 0.0000 0.3955
Br 0.0000 0.5000 0.8067
Br 0.5000 0.0000 0.8067
Br 0.5000 0.5000 0.3955



The following is a PBE calculation of a relaxed structure of ThTi2H8, from the Alexandria database.

As for the crystal system: tetragonal. For the excess energy over the best structure of this formula in the dataset, the calculation gives 0.0447 eV/atom. As for the mass density: 5.42 Mg/m³.

Cell: 4.3619 4.3619 5.4057 Å, 90.00 90.00 90.00°
Fractional positions:
Th 0.0000 0.0000 0.0000
Ti 0.0000 0.5000 0.5000
Ti 0.5000 0.0000 0.5000
H 0.2636 0.2636 0.2933
H 0.2636 0.2636 0.7067
H 0.2636 0.7364 0.2933
H 0.2636 0.7364 0.7067
H 0.7364 0.2636 0.2933
H 0.7364 0.2636 0.7067
H 0.7364 0.7364 0.2933
H 0.7364 0.7364 0.7067



The following is a PBE calculation of a relaxed structure of MgAg2Ge, from the Alexandria database.

As for the crystal system: tetragonal. The energy of formation comes out at 144 meV/atom. As for the mass density: 6.45 Mg/m³.

Cell: 4.1211 4.1211 18.9504 Å, 90.00 90.00 90.00°
Fractional positions:
Mg 0.0000 0.0000 0.0000
Mg 0.0000 0.5000 0.2500
Mg 0.5000 0.0000 0.7500
Mg 0.5000 0.5000 0.5000
Ag 0.2407 0.2500 0.6250
Ag 0.2500 0.7407 0.8750
Ag 0.2500 0.7593 0.3750
Ag 0.2593 0.2500 0.1250
Ag 0.7407 0.7500 0.1250
Ag 0.7500 0.2407 0.3750
Ag 0.7500 0.2593 0.8750
Ag 0.7593 0.7500 0.6250
Ge 0.0000 0.0000 0.5000
Ge 0.0000 0.5000 0.7500
Ge 0.5000 0.0000 0.2500
Ge 0.5000 0.5000 0.0000



The following is a PBE calculation of a relaxed structure of RbSnS2, from the Alexandria database.

The calculation puts the uncorrected formation energy at -0.43 eV/atom. As for the crystal system: trigonal. As for the mass density: 3.54 Mg/m³.

Cell: 3.9880 3.9880 27.4022 Å, 90.00 90.00 120.00°
Fractional positions:
Rb 0.0000 0.0000 0.0000
Rb 0.3333 0.6667 0.6667
Rb 0.6667 0.3333 0.3333
Sn 0.0000 0.0000 0.5000
Sn 0.3333 0.6667 0.1667
Sn 0.6667 0.3333 0.8333
S 0.0000 0.0000 0.1130
S 0.0000 0.0000 0.8870
S 0.3333 0.6667 0.5536
S 0.3333 0.6667 0.7797
S 0.6667 0.3333 0.2203
S 0.6667 0.3333 0.4464



The following is a PBE calculation of a relaxed structure of MnTcRu2, from the Alexandria database.

As for the crystal system: monoclinic. For the excess energy over the best structure of this formula in the dataset, the calculation gives 0.0233 eV/atom. The energy of formation comes out at 87 meV/atom. As for the mass density: 10.78 Mg/m³.

Cell: 8.8888 2.6921 4.6424 Å, 90.00 99.97 90.00°
Fractional positions:
Mn 0.0000 0.0000 0.0000
Mn 0.5000 0.5000 0.0000
Tc 0.2495 0.0000 0.7466
Tc 0.7495 0.5000 0.7466
Ru 0.2505 0.5000 0.2442
Ru 0.4980 0.0000 0.4978
Ru 0.7505 0.0000 0.2442
Ru 0.9980 0.5000 0.4978